No. 1
Below is a relaxed ScTi2Mo2 crystal, with properties calculated at the PBE level.

Cell: 7.3975 7.3975 3.2428 Å, 90.00 90.00 90.00°
Space group P4/mbm (No. 127)
One atom of each set of equivalent atoms:
Sc: 0.0000 0.0000 0.0000 [2 per cell]
Ti: 0.1435 0.3565 0.5000 [4 per cell]
Mo: 0.1509 0.6509 0.0000 [4 per cell]

Values from the calculation:
Its density of states at the Fermi level is 1.26 states/eV per atom. The calculation puts the energy relative to the lowest polymorph listed for this composition at 0 meV/atom. The calculation puts the calculated total energy at -8.6222 eV/atom. Its crystal system is tetragonal. For the formation energy, the calculation gives 135 meV per atom. As for the density: 6.2 Mg/m³.

No. 2
Below is a relaxed Pm4PdI5 crystal, with properties calculated at the PBE level.

Cell: 19.7210 4.2133 9.1539 Å, 90.00 102.69 90.00°
Space group C2/m (No. 12)
One atom of each set of equivalent atoms:
Pm: 0.0003 0.0000 0.2097 [4 per cell]
Pm: 0.1491 0.5000 0.0775 [4 per cell]
Pd: 0.0000 0.5000 0.0000 [2 per cell]
I: 0.0000 0.5000 0.5000 [2 per cell]
I: 0.1676 0.0000 0.3457 [4 per cell]
I: 0.1752 0.0000 0.8253 [4 per cell]

Values from the calculation:
The value obtained for the formation energy from raw total energies is -1.14 eV per atom. Its density of states at the Fermi level is 0.66 states/eV per atom. The calculation puts the calculated total energy at -4.3340 eV/atom. Its crystal system is monoclinic. As for the density: 5.9 Mg/m³.

No. 3
Below is a relaxed Rb2SrTl2 crystal, with properties calculated at the PBE level.

Cell: 6.5367 6.5367 11.7181 Å, 90.00 90.00 90.00°
Space group I4/mmm (No. 139)
One atom of each set of equivalent atoms:
Rb: 0.0000 0.0000 0.1405 [4 per cell]
Sr: 0.0000 0.0000 0.5000 [2 per cell]
Tl: 0.0000 0.5000 0.2500 [4 per cell]

Values from the calculation:
Its density of states at the Fermi level is 1.29 states/eV per atom. The calculation puts the energy relative to the lowest polymorph listed for this composition at 198 meV/atom. The calculation puts the calculated total energy at -1.4916 eV/atom. Its crystal system is tetragonal. For the formation energy, the calculation gives 178 meV per atom. As for the density: 4.4 Mg/m³.